1.
The following is a DFT calculation (PBE-GGA) of crystalline La4CO3 at its relaxed geometry.

```
data_La4CO3
_space_group_name_H-M_alt 'P 1'
_space_group_IT_number 1
_space_group_name_Hall 'P 1'
_cell_length_a 3.737
_cell_length_b 6.422
_cell_length_c 6.422
_cell_angle_alpha 109.49
_cell_angle_beta 90.00
_cell_angle_gamma 90.00
loop_
_atom_site_label
_atom_site_type_symbol
_atom_site_fract_x
_atom_site_fract_y
_atom_site_fract_z
O1 O 0.000 0.000 0.500
La1 La 0.500 0.752 0.248
La2 La 0.500 0.248 0.752
La3 La 0.000 0.751 0.751
O2 O 0.000 0.500 0.000
C1 C 0.500 0.000 0.000
O3 O 0.500 0.500 0.500
La4 La 0.000 0.249 0.249
```

Results
The calculation puts the volume at 145.28 Å³ per cell. Its raw formation energy is -2197 meV per atom.



2.
The following is a DFT calculation (PBE-GGA) of crystalline LuHfTl at its relaxed geometry.

```
data_LuHfTl
_space_group_name_H-M_alt 'P 1'
_space_group_IT_number 1
_space_group_name_Hall 'P 1'
_cell_length_a 3.439
_cell_length_b 5.064
_cell_length_c 5.064
_cell_angle_alpha 120.00
_cell_angle_beta 90.00
_cell_angle_gamma 90.00
loop_
_atom_site_label
_atom_site_type_symbol
_atom_site_fract_x
_atom_site_fract_y
_atom_site_fract_z
Tl1 Tl 0.167 0.333 0.667
Lu1 Lu 0.667 0.667 0.333
Hf1 Hf 0.167 0.000 0.000
```

Results
The calculation puts the volume at 76.36 Å³ per cell. For the raw total energy, the calculation gives -5.4977 eV per atom.



3.
The following is a DFT calculation (PBE-GGA) of crystalline Tb3PrN4 at its relaxed geometry.

```
data_Tb3PrN4
_space_group_name_H-M_alt 'P 1'
_space_group_IT_number 1
_space_group_name_Hall 'P 1'
_cell_length_a 6.144
_cell_length_b 6.145
_cell_length_c 7.103
_cell_angle_alpha 90.00
_cell_angle_beta 90.00
_cell_angle_gamma 109.46
loop_
_atom_site_label
_atom_site_type_symbol
_atom_site_fract_x
_atom_site_fract_y
_atom_site_fract_z
Tb1 Tb 0.250 0.500 0.870
Tb2 Tb 0.750 0.000 0.376
N1 N 0.006 0.253 0.623
N2 N 0.506 0.253 0.377
Pr1 Pr 0.750 0.000 0.873
N3 N 0.994 0.747 0.377
Pr2 Pr 0.250 0.000 0.127
N4 N 0.498 0.259 0.866
Tb3 Tb 0.250 0.500 0.376
N5 N 0.502 0.741 0.134
N6 N 0.494 0.747 0.623
N7 N 0.002 0.741 0.866
Tb4 Tb 0.750 0.500 0.624
Tb5 Tb 0.750 0.500 0.130
Tb6 Tb 0.250 0.000 0.624
N8 N 0.998 0.259 0.134
```

Results
The calculation puts the volume at 252.85 Å³ per cell. Its raw formation energy is -1547 meV per atom.



> Which value of volume does entry 2 give?

76.36 Å³ per cell



> The lowest volume belongs to which entry?

LuHfTl



> Among the records above, which one has the highest volume?

Tb3PrN4